Below is crystalline Li14CaZn at its relaxed geometry, with properties calculated at the PBE-GGA level.

Computed properties:
- DFT formation energy (meV/atom) = 9
- density (g/cm3) = 1.002
- N(E_F) (states/eV per atom) = 0.52

Cell lengths 10.0469, 6.0990, 10.9659 Å; angles 90.00, 90.00, 90.00 degrees
With the nearest neighbours (Å) after each atom.
Space group Amm2 (No. 38)
Inequivalent atoms, fractional coordinates:
Li  0.0000  0.0000  0.0000 (multiplicity 2)  10 Li 2.86-3.05
Li  0.0000  0.0000  0.4886 (multiplicity 2)  12 Li 3.05-3.28
Li  0.0000  0.2442  0.2417 (multiplicity 4)  12 Li 2.95-3.24
Li  0.2247  0.0000  0.8393 (multiplicity 4)  7 Li 2.86-3.09
Li  0.2457  0.2392  0.0793 (multiplicity 8)  9 Li 2.92-3.24, 1 Zn 3.08, 1 Ca 3.24
Li  0.2720  0.0000  0.3233 (multiplicity 4)  1 Zn 2.89, 6 Li 3.03-3.09
Li  0.5000  0.2477  0.9367 (multiplicity 4)  1 Zn 2.90, 6 Li 3.00-3.08, 2 Ca 3.10-3.17
Ca  0.5000  0.0000  0.6894 (multiplicity 2)  2 Zn 3.06, 10 Li 3.10-3.24
Zn  0.5000  0.0000  0.1628 (multiplicity 2)  8 Li 2.89-3.08, 2 Ca 3.06